VASP calculation (GGA+U) on a geometry-optimized MnAuI2O structure.

Computed properties:
Its density of states at the Fermi level is 6.9 states/eV/cell. The calculation puts the energy at -3.492 eV/atom. As for the volume: 134 Å³ per cell. The crystal system is tetragonal.

Cell and atoms, written as CIF:
```
data_MnAuI2O
_symmetry_space_group_name_H-M 'P 4/m m m'
_symmetry_Int_Tables_number 123
_symmetry_space_group_name_Hall '-P 4 2'
_cell_length_a 5.761
_cell_length_b 5.761
_cell_length_c 4.051
_cell_angle_alpha 90.00
_cell_angle_beta 90.00
_cell_angle_gamma 90.00
loop_
_atom_site_label
_atom_site_type_symbol
_atom_site_fract_x
_atom_site_fract_y
_atom_site_fract_z
_atom_site_occupancy
Mn1 Mn 0.000 0.000 0.000 1
Au1 Au 0.500 0.500 0.500 1
I1 I 0.000 0.500 0.500 1
O1 O 0.500 0.500 0.000 1
```